(1)
# PBE-GGA LiTcMo, optimized geometry
# - calculated formation energy (eV per atom) = 0.439
# - symmetry = No. 107
# - uncorrected energy (eV per atom) = -7.265
# - D(E_F) (states/eV per cell) = 3.4
# - E above lowest polymorph (eV per atom) = 0.289
# - magnetization (μB/f.u.) = 0.000
data_LiTcMo
_space_group_name_H-M_alt 'P 1'
_space_group_IT_number 1
_cell_length_a 2.5661
_cell_length_b 2.5661
_cell_length_c 13.7544
_cell_angle_alpha 90.00
_cell_angle_beta 90.00
_cell_angle_gamma 90.00
loop_
_space_group_symop_operation_xyz
'x,y,z'
loop_
_atom_site_label
_atom_site_fract_x
_atom_site_fract_y
_atom_site_fract_z
_atom_site_occupancy
Li1 0.0000 0.0000 0.0000 1
Li2 0.5000 0.5000 0.5000 1
Tc1 0.0000 0.0000 0.3392 1
Tc2 0.5000 0.5000 0.8392 1
Mo1 0.0000 0.0000 0.6706 1
Mo2 0.5000 0.5000 0.1706 1

(2)
# PBE-GGA LiTcMo2, optimized geometry
# - calculated formation energy (eV per atom) = 0.300
# - symmetry = No. 166
# - uncorrected energy (eV per atom) = -8.185
# - D(E_F) (states/eV per cell) = 4.0
# - E above lowest polymorph (eV per atom) = 0.087
# - magnetization (μB/f.u.) = 0.000
data_LiTcMo2
_space_group_name_H-M_alt 'P 1'
_space_group_IT_number 1
_cell_length_a 2.7625
_cell_length_b 2.7625
_cell_length_c 28.4731
_cell_angle_alpha 90.00
_cell_angle_beta 90.00
_cell_angle_gamma 120.00
loop_
_space_group_symop_operation_xyz
'x,y,z'
loop_
_atom_site_label
_atom_site_fract_x
_atom_site_fract_y
_atom_site_fract_z
_atom_site_occupancy
Li1 0.0000 0.0000 0.0000 1
Li2 0.3333 0.6667 0.6667 1
Li3 0.6667 0.3333 0.3333 1
Tc1 0.0000 0.0000 0.5000 1
Tc2 0.3333 0.6667 0.1667 1
Tc3 0.6667 0.3333 0.8333 1
Mo1 0.0000 0.0000 0.2449 1
Mo2 0.0000 0.0000 0.7551 1
Mo3 0.3333 0.6667 0.4217 1
Mo4 0.3333 0.6667 0.9116 1
Mo5 0.6667 0.3333 0.0884 1
Mo6 0.6667 0.3333 0.5783 1